## SmMoO4F (PBE with a Hubbard U)

Data for crystalline SmMoO4F at its relaxed geometry.

The space group is P2_1/c (No. 14) and the conventional cell measures 5.3494, 12.6574 and 6.8692 Å, with angles of 90.00, 112.90 and 90.00 degrees. Symmetry generates all atoms from Sm at (0.1390, 0.0527, 0.2996), Mo at (0.4204, 0.1423, 0.8689), O at (0.1934, 0.0664, 0.9598), O at (0.2680, 0.6517, 0.4123), O at (0.3074, 0.2261, 0.2944), O at (0.4930, 0.0690, 0.6653) and F at (0.0469, 0.5979, 0.9626).

As for the crystal system: monoclinic. The energy relative to the lowest polymorph listed for this composition comes out at 0.000 eV per atom. For the spin magnetization, the calculation gives 0.0000 μB/atom. As for the density of states at the Fermi level: 0.00 states/eV/atom.